(one)
TiFe2O4 | PBE with a Hubbard U | optimized geometry

Cell: 5.188 5.188 10.053 Å, 90.00 90.00 146.48°
Fractional coordinates of all 14 atoms:
Ti1 0.126 0.874 0.500
Ti2 0.874 0.126 0.000
Fe1 0.134 0.866 0.850
Fe2 0.387 0.613 0.707
Fe3 0.613 0.387 0.207
Fe4 0.866 0.134 0.350
O1 0.032 0.968 0.663
O2 0.217 0.783 0.313
O3 0.249 0.751 0.038
O4 0.489 0.511 0.920
O5 0.511 0.489 0.420
O6 0.751 0.249 0.538
O7 0.783 0.217 0.813
O8 0.968 0.032 0.163

Values from the calculation:
**Density**: 4.97 g/cm3
**Symmetry**: No. 36

(two)
TiFe2O4 | PBE with a Hubbard U | optimized geometry

Cell: 6.037 6.037 20.067 Å, 99.06 99.06 60.35°
Fractional coordinates of all 56 atoms:
Ti1 0.000 0.000 0.000
Ti2 0.129 0.129 0.875
Ti3 0.256 0.256 0.751
Ti4 0.384 0.384 0.625
Ti5 0.403 0.403 0.225
Ti6 0.506 0.506 0.498
Ti7 0.640 0.640 0.376
Ti8 0.873 0.873 0.126
Fe1 0.072 0.072 0.285
Fe2 0.120 0.618 0.380
Fe3 0.123 0.623 0.882
Fe4 0.157 0.157 0.474
Fe5 0.331 0.331 0.036
Fe6 0.365 0.871 0.132
Fe7 0.379 0.879 0.631
Fe8 0.582 0.582 0.784
Fe9 0.618 0.120 0.380
Fe10 0.623 0.123 0.882
Fe11 0.656 0.656 0.977
Fe12 0.745 0.745 0.256
Fe13 0.841 0.841 0.539
Fe14 0.871 0.365 0.132
Fe15 0.879 0.379 0.631
Fe16 0.912 0.912 0.727
O1 0.044 0.044 0.184
O2 0.056 0.568 0.191
O3 0.083 0.083 0.695
O4 0.096 0.536 0.694
O5 0.151 0.712 0.068
O6 0.161 0.161 0.068
O7 0.205 0.205 0.578
O8 0.221 0.665 0.569
O9 0.281 0.839 0.944
O10 0.299 0.299 0.935
O11 0.331 0.331 0.445
O12 0.336 0.777 0.440
O13 0.409 0.967 0.819
O14 0.416 0.416 0.819
O15 0.440 0.440 0.318
O16 0.450 0.914 0.322
O17 0.536 0.096 0.694
O18 0.557 0.557 0.684
O19 0.559 0.559 0.193
O20 0.568 0.056 0.191
O21 0.665 0.221 0.569
O22 0.666 0.666 0.566
O23 0.692 0.692 0.080
O24 0.712 0.151 0.068
O25 0.777 0.336 0.440
O26 0.799 0.799 0.437
O27 0.826 0.826 0.945
O28 0.839 0.281 0.944
O29 0.913 0.913 0.323
O30 0.914 0.450 0.322
O31 0.948 0.948 0.829
O32 0.967 0.409 0.819

Values from the calculation:
**Density**: 4.75 g/cm3
**Symmetry**: No. 8

(three)
TiFe2O4 | PBE with a Hubbard U | optimized geometry

Cell: 6.107 6.108 10.419 Å, 75.12 75.10 61.08°
Fractional coordinates of all 28 atoms:
Ti1 0.000 0.000 0.000
Ti2 0.000 0.000 0.500
Ti3 0.261 0.738 0.250
Ti4 0.739 0.262 0.750
Fe1 0.000 0.500 0.500
Fe2 0.065 0.566 0.809
Fe3 0.434 0.935 0.692
Fe4 0.500 0.000 0.000
Fe5 0.500 0.500 0.000
Fe6 0.500 0.500 0.500
Fe7 0.566 0.065 0.308
Fe8 0.935 0.434 0.191
O1 0.094 0.123 0.625
O2 0.112 0.666 0.123
O3 0.124 0.095 0.124
O4 0.132 0.652 0.603
O5 0.335 0.888 0.377
O6 0.348 0.868 0.897
O7 0.349 0.419 0.359
O8 0.419 0.347 0.859
O9 0.581 0.653 0.141
O10 0.651 0.581 0.641
O11 0.652 0.132 0.103
O12 0.665 0.112 0.623
O13 0.868 0.348 0.397
O14 0.876 0.905 0.876
O15 0.888 0.334 0.877
O16 0.906 0.877 0.375

Values from the calculation:
**Density**: 4.57 g/cm3
**Symmetry**: No. 2
**N(E_F)**: 0.000 states/eV per atom

(four)
TiFe2O4 | PBE with a Hubbard U | optimized geometry

Cell: 5.994 6.059 6.166 Å, 118.90 118.53 90.97°
Fractional coordinates of all 14 atoms:
Ti1 0.000 0.000 0.000
Ti2 0.008 0.503 0.007
Fe1 0.004 0.028 0.505
Fe2 0.366 0.637 0.728
Fe3 0.502 0.027 0.502
Fe4 0.644 0.412 0.279
O1 0.216 0.238 0.437
O2 0.224 0.753 0.438
O3 0.230 0.280 0.001
O4 0.230 0.781 0.005
O5 0.777 0.273 0.999
O6 0.779 0.777 0.008
O7 0.782 0.304 0.569
O8 0.789 0.818 0.569

Values from the calculation:
**Density**: 4.55 g/cm3
**Symmetry**: No. 1

(three) ends up most stable, edging out the next structure by 13 meV per atom.

(one)
Ti2Fe4O9 | PBE with a Hubbard U | optimized geometry

Cell: 5.536 7.617 8.877 Å, 113.16 105.53 95.67°
Fractional coordinates of all 30 atoms:
Ti1 0.000 0.000 0.000
Ti2 0.009 0.516 0.998
Ti3 0.317 0.828 0.657
Ti4 0.668 0.168 0.341
Fe1 0.076 0.461 0.328
Fe2 0.085 0.966 0.334
Fe3 0.329 0.340 0.665
Fe4 0.421 0.292 0.999
Fe5 0.426 0.789 0.001
Fe6 0.662 0.675 0.332
Fe7 0.738 0.631 0.663
Fe8 0.746 0.127 0.667
O1 0.071 0.281 0.440
O2 0.102 0.277 0.097
O3 0.103 0.301 0.796
O4 0.298 0.999 0.883
O5 0.334 0.009 0.203
O6 0.343 0.026 0.576
O7 0.390 0.576 0.096
O8 0.414 0.640 0.465
O9 0.427 0.629 0.759
O10 0.624 0.318 0.552
O11 0.654 0.342 0.872
O12 0.671 0.343 0.231
O13 0.750 0.950 0.784
O14 0.778 0.980 0.438
O15 0.800 0.973 0.130
O16 0.972 0.646 0.213
O17 0.981 0.681 0.538
O18 0.997 0.700 0.912

Values from the calculation:
**Density**: 4.77 g/cm3
**Symmetry**: No. 1

(two)
Ti2Fe4O9 | PBE with a Hubbard U | optimized geometry

Cell: 5.088 5.482 11.528 Å, 97.43 102.39 90.55°
Fractional coordinates of all 30 atoms:
Ti1 0.056 0.332 0.102
Ti2 0.281 0.991 0.575
Ti3 0.719 0.009 0.425
Ti4 0.944 0.668 0.898
Fe1 0.124 0.804 0.233
Fe2 0.221 0.500 0.430
Fe3 0.380 0.689 0.766
Fe4 0.444 0.168 0.902
Fe5 0.556 0.832 0.098
Fe6 0.620 0.311 0.234
Fe7 0.779 0.500 0.570
Fe8 0.876 0.196 0.767
O1 0.025 0.515 0.740
O2 0.060 0.228 0.503
O3 0.087 0.307 0.937
O4 0.190 0.018 0.727
O5 0.274 0.086 0.170
O6 0.303 0.798 0.926
O7 0.365 0.856 0.397
O8 0.380 0.572 0.171
O9 0.436 0.664 0.608
O10 0.564 0.336 0.392
O11 0.620 0.428 0.829
O12 0.635 0.144 0.603
O13 0.697 0.202 0.074
O14 0.726 0.914 0.830
O15 0.810 0.982 0.273
O16 0.913 0.693 0.063
O17 0.940 0.772 0.497
O18 0.975 0.485 0.260

Values from the calculation:
**Density**: 4.94 g/cm3
**Symmetry**: No. 2

(one) ends up most stable, edging out the next structure by 186 meV per atom.

(one)
TiFeO2 | PBE with a Hubbard U | optimized geometry

Cell: 5.855 5.855 5.855 Å, 133.63 133.63 67.66°
Fractional coordinates of all 8 atoms:
Ti1 0.000 0.000 0.000
Ti2 0.750 0.250 0.500
Fe1 0.250 0.750 0.500
Fe2 0.500 0.500 0.000
O1 0.101 0.625 0.976
O2 0.375 0.351 0.476
O3 0.649 0.125 0.024
O4 0.875 0.899 0.524

Values from the calculation:
**Density**: 4.36 g/cm3
**Symmetry**: No. 122
**N(E_F)**: 0.595 states/eV per atom

(two)
TiFeO2 | PBE with a Hubbard U | optimized geometry

Cell: 6.449 6.449 6.449 Å, 25.97 25.97 25.97°
Fractional coordinates of all 4 atoms:
Ti1 0.000 0.000 0.000
Fe1 0.500 0.500 0.500
O1 0.395 0.395 0.395
O2 0.605 0.605 0.605

Values from the calculation:
**Density**: 4.97 g/cm3
**Symmetry**: No. 166
**N(E_F)**: 0.457 states/eV per atom

(two) ends up most stable, edging out the next structure by 116 meV per atom.